The following is a DFT calculation (meta-GGA SCAN) of ErRh2 at its PBEsol-relaxed geometry.

Lattice parameters (Å, degrees): 5.227 5.227 5.227 60.00 60.00 60.00
Element x y z (fractional)
Er 0.125 0.125 0.125
Er 0.875 0.875 0.875
Rh 0.000 0.500 0.500
Rh 0.500 0.000 0.500
Rh 0.500 0.500 0.000
Rh 0.500 0.500 0.500

Density of states at the Fermi level, states/eV/cell: 2.8
Density, g/cm³: 12.268
Crystal system: cubic
Final energy, eV/atom: -40.16
E_form, kJ per mole of atoms: -84

***

The following is a DFT calculation (meta-GGA SCAN) of Er7Rh3 at its PBEsol-relaxed geometry.

Lattice parameters (Å, degrees): 9.551 9.551 5.983 90.00 90.00 120.00
Element x y z (fractional)
Er 0.082 0.541 0.000
Er 0.123 0.247 0.300
Er 0.123 0.877 0.300
Er 0.247 0.123 0.800
Er 0.333 0.667 0.508
Er 0.459 0.541 0.000
Er 0.459 0.918 0.000
Er 0.541 0.082 0.500
Er 0.541 0.459 0.500
Er 0.667 0.333 0.008
Er 0.753 0.877 0.300
Er 0.877 0.123 0.800
Er 0.877 0.753 0.800
Er 0.918 0.459 0.500
Rh 0.190 0.380 0.734
Rh 0.190 0.810 0.734
Rh 0.380 0.190 0.234
Rh 0.620 0.810 0.734
Rh 0.810 0.190 0.234
Rh 0.810 0.620 0.234

Density of states at the Fermi level, states/eV/cell: 10.5
Density, g/cm³: 10.395
Crystal system: hexagonal
Final energy, eV/atom: -46.13
E_form, kJ per mole of atoms: -74

***

The following is a DFT calculation (meta-GGA SCAN) of ErSbRh at its PBEsol-relaxed geometry.

Lattice parameters (Å, degrees): 6.986 4.502 7.697 90.00 90.00 90.00
Element x y z (fractional)
Er 0.009 0.250 0.201
Er 0.491 0.750 0.701
Er 0.509 0.250 0.299
Er 0.991 0.750 0.799
Sb 0.193 0.250 0.591
Sb 0.307 0.750 0.091
Sb 0.693 0.250 0.909
Sb 0.807 0.750 0.409
Rh 0.199 0.750 0.419
Rh 0.301 0.250 0.919
Rh 0.699 0.750 0.081
Rh 0.801 0.250 0.581

Density of states at the Fermi level, states/eV/cell: 5.2
Density, g/cm³: 10.752
Crystal system: orthorhombic
Final energy, eV/atom: -41.61
Energy relative to the elements, uncorrected, eV/atom: -1.1533